Here is crystalline Fe6CoGe at its relaxed geometry from Alexandria via LeMat-Bulk. Energies are from GGA-PBE.

Geometry as extended XYZ:
```
8
Lattice="3.905 0.000 1.066 1.966 3.494 0.482 0.196 -1.084 6.965" Properties=species:S:1:pos:R:3 pbc="T T T"
Fe 2.806 2.379 5.090
Fe 2.593 0.059 5.869
Fe 1.750 1.175 1.273
Fe 3.474 2.351 2.643
Fe 3.261 0.031 3.423
Fe 4.317 1.236 7.240
Co 0.000 0.000 0.000
Ge 1.081 1.205 3.724
```

Properties
Space group: No. 12
Total energy, eV for the cell shown: -63.03